Entry 1:
## ScCdHgBi (PBE)

Data for a relaxed structure of ScCdHgBi.

extended XYZ file:
```
4
Lattice="5.215 0.000 0.000 2.608 4.516 0.000 2.608 1.505 4.258" Properties=species:S:1:pos:R:3 pbc="T T T"
Sc 2.608 1.505 1.065
Cd 7.823 4.516 3.194
Bi 0.000 0.000 0.000
Hg 5.215 3.011 2.129
```

Results
ΔE_f: -0.1122 eV per atom
Total magnetic moment: 0.001 μB/atom

Entry 2:
## NbIr2N (PBE)

Data for a relaxed structure of NbIr2N.

extended XYZ file:
```
8
Lattice="-3.523 -0.951 -3.569 3.037 -3.554 -2.050 -2.390 -5.865 0.272" Properties=species:S:1:pos:R:3 pbc="T T T"
Nb 0.000 0.000 0.000
Nb -3.078 -4.535 -3.053
Ir -2.085 -2.415 -2.080
Ir 0.526 -3.897 -1.998
Ir -1.687 -6.426 -2.098
Ir -2.506 -8.004 -4.518
N -0.243 -2.253 -2.810
N 0.202 -5.836 -2.294
```

Results
Electronic total energy: -0.6435 Ry per atom
Total magnetic moment: 0.000 μB/atom

Entry 3:
## MnCrSb2 (PBE)

Data for a relaxed structure of MnCrSb2.

extended XYZ file:
```
4
Lattice="-3.844 0.088 0.787 -2.613 -0.945 -2.772 -1.891 -6.502 1.233" Properties=species:S:1:pos:R:3 pbc="T T T"
Cr -2.087 -1.840 -0.188
Mn -6.261 -5.519 -0.564
Sb -1.893 -6.502 1.232
Sb -4.172 -3.679 -0.376
```

Results
Excess energy over the best structure of this formula in the dataset: 161.2 meV/atom
Total magnetic moment: 1.766 μB/atom

Entry 4:
## Tb3Sm2Tm6 (PBE)

Data for a relaxed structure of Tb3Sm2Tm6.

extended XYZ file:
```
11
Lattice="4.697 0.000 0.000 0.000 4.697 0.000 -2.348 -2.348 16.473" Properties=species:S:1:pos:R:3 pbc="T T T"
Tb 0.000 0.000 0.000
Tb 2.348 2.348 9.813
Tb 0.000 0.000 6.660
Sm 0.000 0.000 14.950
Sm 2.348 2.348 1.522
Tm 0.000 2.348 4.017
Tm 2.348 0.000 4.017
Tm 2.348 0.000 12.456
Tm 0.000 2.348 12.456
Tm 2.348 2.348 6.402
Tm 0.000 0.000 10.071
```

Results
ΔE_f: 0.2750 eV per atom
Excess energy over the best structure of this formula in the dataset: 83.2 meV/atom
Total magnetic moment: 0.000 μB/atom

Entry 5:
## LiAs3Pd6 (PBE)

Data for a relaxed structure of LiAs3Pd6.

extended XYZ file:
```
20
Lattice="4.194 0.000 0.000 0.000 8.535 -1.118 0.000 -4.081 9.705" Properties=species:S:1:pos:R:3 pbc="T T T"
Li 3.146 -2.017 6.865
Li 1.049 6.471 1.723
As 3.146 1.041 7.493
As 1.049 3.414 1.095
As 3.146 4.106 4.418
As 1.049 0.348 4.170
As 3.146 0.998 0.403
As 1.049 3.456 8.184
Pd 3.146 1.658 5.122
Pd 1.049 2.797 3.465
Pd 3.146 6.979 0.063
Pd 1.049 -2.524 8.525
Pd 3.146 -0.730 9.254
Pd 1.049 5.185 -0.666
Pd 3.146 4.786 2.054
Pd 1.049 -0.332 6.534
Pd 3.146 -1.111 4.393
Pd 1.049 5.566 4.194
Pd 3.146 3.989 6.881
Pd 1.049 0.466 1.706
```

Results
ΔE_f: -0.3411 eV per atom
Total magnetic moment: 0.000 μB/atom

Entry 6:
## TaFe2W2 (PBE)

Data for a relaxed structure of TaFe2W2.

extended XYZ file:
```
10
Lattice="7.112 0.000 0.000 0.000 7.112 0.000 0.000 0.000 2.840" Properties=species:S:1:pos:R:3 pbc="T T T"
Fe 2.627 6.183 0.000
Fe 6.183 4.485 0.000
Fe 4.485 0.929 0.000
Fe 0.929 2.627 0.000
W 1.179 4.734 1.420
W 4.734 5.933 1.420
W 5.933 2.377 1.420
W 2.377 1.179 1.420
Ta 0.000 0.000 0.000
Ta 3.556 3.556 0.000
```

Results
ΔE_f: 0.1515 eV per atom
Excess energy over the best structure of this formula in the dataset: 0.0 meV/atom
Total magnetic moment: 0.000 μB/atom

Entry 7:
## Na3SnB (PBE)

Data for a relaxed structure of Na3SnB.

extended XYZ file:
```
5
Lattice="-2.704 -3.613 -2.414 3.694 -0.413 -3.519 2.289 -3.601 2.826" Properties=species:S:1:pos:R:3 pbc="T T T"
Na 1.847 -0.207 -1.759
Na 1.144 -1.801 1.413
Na -1.352 -1.807 -1.207
B 0.000 0.000 0.000
Sn 1.639 -3.814 -1.553
```

Results
ΔE_f: 0.7352 eV per atom
Excess energy over the best structure of this formula in the dataset: 0.0 meV/atom
Total magnetic moment: 0.083 μB/atom

Entry 8:
## SrSc2Mn (PBE)

Data for a relaxed structure of SrSc2Mn.

extended XYZ file:
```
4
Lattice="-6.461 6.660 -3.045 -8.030 5.558 0.007 -5.468 8.091 0.110" Properties=species:S:1:pos:R:3 pbc="T T T"
Mn -14.970 15.232 -2.196
Sc -0.565 0.574 -0.083
Sc -9.415 9.580 -1.381
Sr -4.990 5.077 -0.732
```

Results
ΔE_f: 0.4166 eV per atom
Excess energy over the best structure of this formula in the dataset: 213.5 meV/atom
Total magnetic moment: 0.313 μB/atom

Entry 9:
## FeCuPb2 (PBE)

Data for a relaxed structure of FeCuPb2.

extended XYZ file:
```
4
Lattice="-3.790 0.145 -5.290 -6.225 0.065 -1.902 -4.425 3.636 -3.094" Properties=species:S:1:pos:R:3 pbc="T T T"
Cu -6.740 1.795 -4.801
Fe -11.327 3.017 -8.068
Pb -0.427 0.114 -0.304
Pb -3.165 0.843 -2.255
```

Results
ΔE_f: 0.4133 eV per atom
Excess energy over the best structure of this formula in the dataset: 81.8 meV/atom
Total magnetic moment: 0.606 μB/atom